# 1
Compound: GdPuTlAg
Source: the Alexandria database
Functional: PBE
Structure: optimized geometry

Its energy of formation is -0.41 eV/f.u.

The space group is F-43m (No. 216) and the conventional cell measures 7.529, 7.529 and 7.529 Å, with angles of 90.00, 90.00 and 90.00 degrees. The asymmetric unit holds Gd at (0.000, 0.000, 0.000), Pu at (0.000, 0.000, 0.500), Tl at (0.250, 0.250, 0.250) and Ag at (0.250, 0.250, 0.750).

***

# 2
Compound: Ca3TeO4
Source: the Alexandria database
Functional: PBE
Structure: optimized geometry

Its formation energy from raw total energies is -2.170 eV/atom.

The space group is Pmn2_1 (No. 31) and the conventional cell measures 7.256, 6.945 and 6.170 Å, with angles of 90.00, 90.00 and 90.00 degrees. The asymmetric unit holds Ca at (0.000, 0.145, 0.000), Ca at (0.245, 0.357, 0.503), Te at (0.000, 0.747, 0.460), O at (0.000, 0.262, 0.674), O at (0.000, 0.824, 0.106) and O at (0.249, 0.319, 0.130).

***

# 3
Compound: CaYPb2
Source: the Alexandria database
Functional: PBE
Structure: optimized geometry

Its energy of formation is 0.61 eV/f.u.

The space group is Immm (No. 71) and the conventional cell measures 3.535, 6.232 and 12.722 Å, with angles of 90.00, 90.00 and 90.00 degrees. The asymmetric unit holds Ca at (0.000, 0.000, 0.000), Y at (0.000, 0.000, 0.500) and Pb at (0.000, 0.000, 0.250).

***

# 4
Compound: SrTlBPb
Source: the Alexandria database
Functional: PBE
Structure: optimized geometry

The energy relative to the lowest polymorph listed for this composition comes out at 0.023 eV per atom. Its energy of formation is 1.09 eV/f.u.

The space group is I4mm (No. 107) and the conventional cell measures 4.341, 4.341 and 11.685 Å, with angles of 90.00, 90.00 and 90.00 degrees. The asymmetric unit holds Sr at (0.000, 0.000, 0.000), Tl at (0.000, 0.000, 0.698), B at (0.000, 0.000, 0.501) and Pb at (0.000, 0.000, 0.308).

***

# 5
Compound: ReCl
Source: the Alexandria database
Functional: PBE
Structure: optimized geometry

Its formation energy from raw total energies is 1.277 eV/atom. The energy relative to the lowest polymorph listed for this composition comes out at 1.388 eV per atom.

The space group is Fd-3m (No. 227, origin choice 2) and the conventional cell measures 6.358, 6.358 and 6.358 Å, with angles of 90.00, 90.00 and 90.00 degrees. The asymmetric unit holds Re at (0.125, 0.125, 0.125) and Cl at (0.125, 0.125, 0.625).

***

# 6
Compound: BeTl2W
Source: the Alexandria database
Functional: PBE
Structure: optimized geometry

The energy relative to the lowest polymorph listed for this composition comes out at 0.183 eV per atom. Its energy of formation is 3.44 eV/f.u.

The space group is Amm2 (No. 38) and the conventional cell measures 3.870, 3.959 and 10.410 Å, with angles of 90.00, 90.00 and 90.00 degrees. The asymmetric unit holds Be at (0.000, 0.000, 0.000), Tl at (0.000, 0.000, 0.704), Tl at (0.500, 0.000, 0.417) and W at (0.500, 0.000, 0.133).

***

# 7
Compound: MgP2Ru
Source: the Alexandria database
Functional: PBE
Structure: optimized geometry

Its energy of formation is -1.07 eV/f.u.

The space group is C2/m (No. 12) and the conventional cell measures 7.474, 3.216 and 5.298 Å, with angles of 90.00, 101.93 and 90.00 degrees. The asymmetric unit holds Mg at (0.000, 0.000, 0.000), P at (0.234, 0.000, 0.696) and Ru at (0.000, 0.500, 0.500).

***

# 8
Compound: LiPuInBi
Source: the Alexandria database
Functional: PBE
Structure: optimized geometry

The energy relative to the lowest polymorph listed for this composition comes out at 0.040 eV per atom. Its energy of formation is -0.89 eV/f.u.

The space group is F-43m (No. 216) and the conventional cell measures 7.496, 7.496 and 7.496 Å, with angles of 90.00, 90.00 and 90.00 degrees. The asymmetric unit holds Li at (0.000, 0.000, 0.000), Pu at (0.000, 0.000, 0.500), In at (0.250, 0.250, 0.750) and Bi at (0.250, 0.250, 0.250).

***

# 9
Compound: ScSe2NF
Source: the Alexandria database
Functional: PBE
Structure: optimized geometry

Its formation energy from raw total energies is 0.396 eV/atom. The energy relative to the lowest polymorph listed for this composition comes out at 0.219 eV per atom.

The space group is P4/mmm (No. 123) and the conventional cell measures 4.496, 4.496 and 4.047 Å, with angles of 90.00, 90.00 and 90.00 degrees. The asymmetric unit holds Sc at (0.000, 0.000, 0.000), Se at (0.000, 0.500, 0.500), N at (0.500, 0.500, 0.000) and F at (0.500, 0.500, 0.500).

***

# 10
Compound: NaCdI3
Source: the Alexandria database
Functional: PBE
Structure: optimized geometry

Its formation energy from raw total energies is -0.844 eV/atom. The energy relative to the lowest polymorph listed for this composition comes out at 0.000 eV per atom.

The space group is C2/c (No. 15) and the conventional cell measures 15.151, 14.092 and 8.079 Å, with angles of 90.00, 101.83 and 90.00 degrees. The asymmetric unit holds Na at (0.000, 0.098, 0.250), Na at (0.000, 0.265, 0.750), Cd at (0.197, 0.411, 0.286), I at (0.113, 0.085, 0.634), I at (0.127, 0.248, 0.112) and I at (0.131, 0.422, 0.597).

***

# 11
Compound: Hf3H2Ru
Source: the Alexandria database
Functional: PBE
Structure: optimized geometry

The total energy is -189.58 eV/cell.

The space group is C2/m (No. 12) and the conventional cell measures 19.483, 3.187 and 5.777 Å, with angles of 90.00, 99.52 and 90.00 degrees. The asymmetric unit holds Hf at (0.067, 0.000, 0.386), Hf at (0.074, 0.500, 0.878), Hf at (0.210, 0.000, 0.744), H at (0.030, 0.500, 0.185), H at (0.238, 0.000, 0.396) and Ru at (0.169, 0.000, 0.147).

***

# 12
Compound: LiTa2F
Source: the Alexandria database
Functional: PBE
Structure: optimized geometry

Its formation energy from raw total energies is 0.466 eV/atom. The energy relative to the lowest polymorph listed for this composition comes out at 0.259 eV per atom.

The space group is Fm-3m (No. 225) and the conventional cell measures 6.135, 6.135 and 6.135 Å, with angles of 90.00, 90.00 and 90.00 degrees. The asymmetric unit holds Li at (0.000, 0.000, 0.000), Ta at (0.250, 0.250, 0.250) and F at (0.000, 0.000, 0.500).

***

# 13
Compound: Ce5Ge5Ru2
Source: the Alexandria database
Functional: PBE
Structure: optimized geometry

Its energy of formation is -7.89 eV/f.u.

The space group is C2/m (No. 12) and the conventional cell measures 15.402, 4.450 and 10.137 Å, with angles of 90.00, 130.95 and 90.00 degrees. The asymmetric unit holds Ce at (0.000, 0.000, 0.000), Ce at (0.129, 0.000, 0.830), Ce at (0.178, 0.000, 0.526), Ge at (0.000, 0.500, 0.500), Ge at (0.047, 0.500, 0.254), Ge at (0.247, 0.500, 0.769) and Ru at (0.159, 0.500, 0.061).

***

# 14
Compound: Pm2TmTi
Source: the Alexandria database
Functional: PBE
Structure: optimized geometry

The energy relative to the lowest polymorph listed for this composition comes out at 0.000 eV per atom. Its energy of formation is 0.90 eV/f.u.

The space group is P4/mmm (No. 123) and the conventional cell measures 3.910, 3.910 and 7.407 Å, with angles of 90.00, 90.00 and 90.00 degrees. The asymmetric unit holds Pm at (0.000, 0.000, 0.218), Tm at (0.500, 0.500, 0.500) and Ti at (0.500, 0.500, 0.000).

***

# 15
Compound: Th4Sb2PSe
Source: the Alexandria database
Functional: PBE
Structure: optimized geometry

Its formation energy from raw total energies is -1.233 eV/atom.

The space group is P2/m (No. 10) and the conventional cell measures 7.533, 4.306 and 7.550 Å, with angles of 90.00, 109.06 and 90.00 degrees. The asymmetric unit holds Th at (0.230, 0.000, 0.218), Th at (0.248, 0.500, 0.777), Sb at (0.000, 0.000, 0.500), Sb at (0.500, 0.500, 0.500), P at (0.000, 0.500, 0.000) and Se at (0.500, 0.000, 0.000).

***

# 16
Compound: BaScS2
Source: the Alexandria database
Functional: PBE
Structure: optimized geometry

Its formation energy from raw total energies is -1.628 eV/atom. The energy relative to the lowest polymorph listed for this composition comes out at 0.199 eV per atom.

The space group is I-42d (No. 122) and the conventional cell measures 6.608, 6.608 and 11.777 Å, with angles of 90.00, 90.00 and 90.00 degrees. The asymmetric unit holds Ba at (0.000, 0.000, 0.000), Sc at (0.000, 0.000, 0.500) and S at (0.177, 0.250, 0.625).

***

# 17
Compound: Sm3PtPb
Source: the Alexandria database
Functional: PBE
Structure: optimized geometry

Its energy of formation is -3.21 eV/f.u.

The space group is Cmce (No. 64) and the conventional cell measures 13.490, 11.464 and 7.797 Å, with angles of 90.00, 90.00 and 90.00 degrees. The asymmetric unit holds Sm at (0.000, 0.069, 0.205), Sm at (0.139, 0.168, 0.596), Pt at (0.000, 0.192, 0.883) and Pb at (0.250, 0.079, 0.250).

***

# 18
Compound: LaZnIn2
Source: the Alexandria database
Functional: PBE
Structure: optimized geometry

Its energy of formation is -1.00 eV/f.u.

The space group is P4/mmm (No. 123) and the conventional cell measures 3.634, 3.634 and 7.646 Å, with angles of 90.00, 90.00 and 90.00 degrees. The asymmetric unit holds La at (0.000, 0.000, 0.000), Zn at (0.000, 0.000, 0.500) and In at (0.500, 0.500, 0.297).

***

# 19
Compound: NbTeAuI2
Source: the Alexandria database
Functional: PBE
Structure: optimized geometry

Its formation energy from raw total energies is 0.918 eV/atom. The energy relative to the lowest polymorph listed for this composition comes out at 0.540 eV per atom.

The space group is P4/mmm (No. 123) and the conventional cell measures 5.477, 5.477 and 5.615 Å, with angles of 90.00, 90.00 and 90.00 degrees. The asymmetric unit holds Nb at (0.000, 0.000, 0.000), Te at (0.500, 0.500, 0.000), Au at (0.500, 0.500, 0.500) and I at (0.000, 0.500, 0.500).

***

# 20
Compound: Li2RePt
Source: the Alexandria database
Functional: PBE
Structure: optimized geometry

The energy relative to the lowest polymorph listed for this composition comes out at 0.431 eV per atom. Its energy of formation is 1.21 eV/f.u.

The space group is P4/mmm (No. 123) and the conventional cell measures 4.458, 4.458 and 2.621 Å, with angles of 90.00, 90.00 and 90.00 degrees. The asymmetric unit holds Li at (0.000, 0.500, 0.000), Re at (0.000, 0.000, 0.500) and Pt at (0.500, 0.500, 0.500).

***

D(E_F), record by record: 49.19 0.00 8.69 3.57 22.34 2.99 3.91 59.14 2.42 0.00 13.51 12.41 26.04 5.57 5.38 8.25 35.23 2.51 5.90 3.54 states/eV/cell
M_tot, record by record: 3.264 0.000 0.002 0.000 0.000 0.000 0.000 1.442 0.081 0.000 0.000 0.000 0.082 0.000 0.000 0.250 0.000 0.000 0.620 0.001 μB per atom